Entry 1:
The following is a DFT calculation (PBE-GGA) of a relaxed structure of Dy2Y3In.

spin magnetization	0.11	μB per atom
relative energy among the computed polymorphs	53.8	meV/atom
energy	-5.33	eV/atom
energy of formation	-0.109	eV per atom

Unit cell a=9.152 b=9.152 c=7.037 alpha=90.00 beta=90.00 gamma=39.37
Atoms (fractional coordinates):
Dy 0.165 0.207 0.250
Dy 0.207 0.165 0.750
Dy 0.793 0.835 0.250
Dy 0.835 0.793 0.750
Y 0.176 0.824 0.250
Y 0.362 0.362 0.000
Y 0.362 0.362 0.500
Y 0.638 0.638 0.000
Y 0.638 0.638 0.500
Y 0.824 0.176 0.750
In 0.310 0.690 0.750
In 0.690 0.310 0.250


Entry 2:
The following is a DFT calculation (PBE-GGA) of a relaxed structure of MgNi4Cl.

spin magnetization	0.41	μB per atom
energy	-4.17	eV/atom
formation energy from raw total energies	0.26	eV per atom

Unit cell a=4.901 b=4.901 c=4.901 alpha=60.00 beta=60.00 gamma=60.00
Atoms (fractional coordinates):
Mg 0.000 0.000 0.000
Ni 0.374 0.374 0.374
Ni 0.374 0.374 0.878
Ni 0.374 0.878 0.374
Ni 0.878 0.374 0.374
Cl 0.750 0.750 0.750


Entry 3:
The following is a DFT calculation (PBE-GGA) of a relaxed structure of InHgO3.

spin magnetization	0.00	μB per atom
energy	-3.46	eV/atom
formation energy from raw total energies	0.12	eV per atom

Unit cell a=4.163 b=4.163 c=4.163 alpha=90.00 beta=90.00 gamma=90.00
Atoms (fractional coordinates):
In 0.000 0.000 0.000
Hg 0.500 0.500 0.500
O 0.000 0.500 0.500
O 0.500 0.000 0.500
O 0.500 0.500 0.000


Entry 4:
The following is a DFT calculation (PBE-GGA) of a relaxed structure of PSe3S.

spin magnetization	0.00	μB per atom
relative energy among the computed polymorphs	619.4	meV/atom
energy	-3.17	eV/atom
formation energy from raw total energies	0.83	eV per atom

Unit cell a=4.804 b=4.804 c=4.804 alpha=90.00 beta=90.00 gamma=90.00
Atoms (fractional coordinates):
P 0.000 0.000 0.000
Se 0.000 0.000 0.500
Se 0.000 0.500 0.000
Se 0.500 0.000 0.000
S 0.500 0.500 0.500


Question: What is the formula in the third record?
Answer: InHgO3


Question: Which value of spin magnetization does entry 2 give?
Answer: 0.41 μB per atom


Question: The lowest energy belongs to which entry?
Answer: Dy2Y3In